VASP calculation (PBE) on EuHoSc after structural relaxation.

Cell lengths 7.782, 7.782, 7.782 Å; angles 153.51, 153.51, 37.82 degrees
Fractional positions:
Eu: 0.000 0.000 0.000
Ho: 0.316 0.316 0.000
Sc: 0.670 0.670 0.000

Values from the calculation:
Energy above the most stable polymorph in this dataset ... 0.0 meV/atom
ΔE_f ... 0.109 eV per atom



VASP calculation (PBE) on Ba3GeI2 after structural relaxation.

Cell lengths 16.589, 15.823, 8.783 Å; angles 79.15, 69.52, 31.33 degrees
Fractional positions:
Ba: 0.030 0.537 0.181
Ba: 0.083 0.667 0.667
Ba: 0.181 0.752 0.030
Ba: 0.248 0.819 0.463
Ba: 0.333 0.917 0.917
Ba: 0.463 0.970 0.248
Ba: 0.537 0.030 0.752
Ba: 0.667 0.083 0.083
Ba: 0.752 0.181 0.537
Ba: 0.819 0.248 0.970
Ba: 0.917 0.333 0.333
Ba: 0.970 0.463 0.819
Ge: 0.041 0.041 0.209
Ge: 0.209 0.209 0.041
Ge: 0.791 0.791 0.959
Ge: 0.959 0.959 0.791
I: 0.129 0.129 0.621
I: 0.297 0.297 0.453
I: 0.379 0.379 0.871
I: 0.453 0.453 0.297
I: 0.547 0.547 0.703
I: 0.621 0.621 0.129
I: 0.703 0.703 0.547
I: 0.871 0.871 0.379

Values from the calculation:
Uncorrected formation energy ... -1.2084 eV per atom



VASP calculation (PBE) on CaGa2Bi after structural relaxation.

Cell lengths 4.614, 4.614, 4.692 Å; angles 90.00, 90.00, 90.00 degrees
Fractional positions:
Ca: 0.000 0.000 0.000
Ga: 0.000 0.500 0.500
Ga: 0.500 0.000 0.500
Bi: 0.500 0.500 0.000

Values from the calculation:
ΔE_f ... -0.339 eV per atom



VASP calculation (PBE) on Rb3Y3SnTe8 after structural relaxation.

Cell lengths 8.882, 8.882, 10.179 Å; angles 115.94, 115.94, 59.89 degrees
Fractional positions:
Rb: 0.000 0.000 0.000
Rb: 0.000 0.500 0.000
Rb: 0.500 0.000 0.000
Y: 0.000 0.500 0.500
Y: 0.500 0.000 0.500
Y: 0.500 0.500 0.500
Sn: 0.000 0.000 0.500
Te: 0.229 0.229 0.695
Te: 0.229 0.737 0.695
Te: 0.263 0.771 0.305
Te: 0.267 0.267 0.300
Te: 0.733 0.733 0.700
Te: 0.737 0.229 0.695
Te: 0.771 0.263 0.305
Te: 0.771 0.771 0.305

Values from the calculation:
Uncorrected formation energy ... -1.1167 eV per atom



VASP calculation (PBE) on K2VTc after structural relaxation.

Cell lengths 9.359, 9.359, 9.359 Å; angles 93.27, 93.27, 152.38 degrees
Fractional positions:
K: 0.375 0.208 0.333
K: 0.792 0.125 0.167
K: 0.875 0.042 0.667
K: 0.958 0.625 0.833
V: 0.000 0.000 0.000
V: 0.750 0.250 0.500
Tc: 0.250 0.750 0.500
Tc: 0.500 0.500 0.000

Values from the calculation:
Energy above the most stable polymorph in this dataset ... 0.0 meV/atom
ΔE_f ... 1.285 eV per atom



VASP calculation (PBE) on Y2ScRe after structural relaxation.

Cell lengths 6.693, 6.693, 6.693 Å; angles 101.16, 101.16, 127.79 degrees
Fractional positions:
Y: 0.058 0.625 0.933
Y: 0.375 0.308 0.433
Y: 0.692 0.125 0.067
Y: 0.875 0.942 0.567
Sc: 0.250 0.750 0.500
Sc: 0.500 0.500 0.000
Re: 0.000 0.000 0.000
Re: 0.750 0.250 0.500

Values from the calculation:
Energy above the most stable polymorph in this dataset ... 453.7 meV/atom
ΔE_f ... 0.558 eV per atom



VASP calculation (PBE) on Pm3Nd6Cd after structural relaxation.

Cell lengths 8.912, 8.912, 8.912 Å; angles 100.15, 100.15, 100.15 degrees
Fractional positions:
Pm: 0.173 0.589 0.589
Pm: 0.411 0.411 0.827
Pm: 0.411 0.827 0.411
Pm: 0.589 0.173 0.589
Pm: 0.589 0.589 0.173
Pm: 0.827 0.411 0.411
Nd: 0.005 0.255 0.744
Nd: 0.141 0.417 0.157
Nd: 0.157 0.141 0.417
Nd: 0.255 0.744 0.005
Nd: 0.256 0.995 0.745
Nd: 0.417 0.157 0.141
Nd: 0.583 0.843 0.859
Nd: 0.744 0.005 0.255
Nd: 0.745 0.256 0.995
Nd: 0.843 0.859 0.583
Nd: 0.859 0.583 0.843
Nd: 0.995 0.745 0.256
Cd: 0.000 0.000 0.000
Cd: 0.500 0.500 0.500

Values from the calculation:
Energy above the most stable polymorph in this dataset ... 51.4 meV/atom
ΔE_f ... 0.029 eV per atom



VASP calculation (PBE) on Sn3PbAu3 after structural relaxation.

Cell lengths 9.321, 4.590, 9.334 Å; angles 90.00, 119.95, 90.00 degrees
Fractional positions:
Sn: 0.040 0.250 0.268
Sn: 0.233 0.250 0.773
Sn: 0.272 0.750 0.540
Sn: 0.728 0.250 0.460
Sn: 0.767 0.750 0.227
Sn: 0.960 0.750 0.732
Pb: 0.333 0.750 0.167
Pb: 0.667 0.250 0.833
Au: 0.076 0.250 0.968
Au: 0.393 0.250 0.424
Au: 0.469 0.750 0.893
Au: 0.531 0.250 0.107
Au: 0.607 0.750 0.576
Au: 0.924 0.750 0.032

Values from the calculation:
Energy above the most stable polymorph in this dataset ... 0.0 meV/atom
ΔE_f ... -0.083 eV per atom



VASP calculation (PBE) on KCaMo after structural relaxation.

Cell lengths 9.459, 9.444, 3.040 Å; angles 81.02, 80.47, 18.51 degrees
Fractional positions:
K: 0.000 0.000 0.000
Ca: 0.287 0.287 0.713
Mo: 0.662 0.662 0.338

Values from the calculation:
Energy above the most stable polymorph in this dataset ... 0.0 meV/atom
ΔE_f ... 1.061 eV per atom



VASP calculation (PBE) on Tm5Sb2Ir after structural relaxation.

Cell lengths 7.829, 12.129, 4.436 Å; angles 90.00, 90.00, 90.00 degrees
Fractional positions:
Tm: 0.000 0.000 0.000
Tm: 0.149 0.300 0.000
Tm: 0.181 0.567 0.500
Tm: 0.319 0.067 0.500
Tm: 0.351 0.800 0.000
Tm: 0.500 0.500 0.000
Tm: 0.649 0.200 0.000
Tm: 0.681 0.933 0.500
Tm: 0.819 0.433 0.500
Tm: 0.851 0.700 0.000
Sb: 0.063 0.827 0.500
Sb: 0.437 0.327 0.500
Sb: 0.563 0.673 0.500
Sb: 0.937 0.173 0.500
Ir: 0.000 0.500 0.000
Ir: 0.500 0.000 0.000

Values from the calculation:
Energy above the most stable polymorph in this dataset ... 0.0 meV/atom
Uncorrected formation energy ... -0.8739 eV per atom



VASP calculation (PBE) on CeErTc4 after structural relaxation.

Cell lengths 5.412, 5.412, 5.412 Å; angles 60.00, 60.00, 60.00 degrees
Fractional positions:
Ce: 0.000 0.000 0.000
Er: 0.250 0.250 0.250
Tc: 0.126 0.625 0.625
Tc: 0.625 0.126 0.625
Tc: 0.625 0.625 0.126
Tc: 0.625 0.625 0.625

Values from the calculation:
ΔE_f ... -0.083 eV per atom



VASP calculation (PBE) on LaPr2 after structural relaxation.

Cell lengths 6.439, 6.439, 4.397 Å; angles 70.04, 70.04, 39.93 degrees
Fractional positions:
La: 0.000 0.000 0.000
Pr: 0.330 0.330 0.670
Pr: 0.670 0.670 0.330

Values from the calculation:
Energy above the most stable polymorph in this dataset ... 81.8 meV/atom
ΔE_f ... 0.096 eV per atom